VASP calculation (PBE-GGA) on an optimized crystal structure of CaIn3Cl.

```
CaIn3Cl
1.0
6.130 0.000 0.000
0.000 6.130 0.000
0.000 0.000 6.130
Ca In Cl
1 3 1
direct
0.000 0.000 0.000
0.000 0.000 0.500
0.000 0.500 0.000
0.500 0.000 0.000
0.500 0.500 0.500
```

Values from the calculation:
Space group: No. 221
D(E_F), states/eV/atom: 1.46
E_form (uncorrected), eV per atom: 0.359